First-principles (GGA-PBE) data for crystalline Bi2AsRh3 at its relaxed geometry, as listed in the Alexandria database.

Structure (extended XYZ):
```
12
Lattice="5.975 -3.404 0.000 5.975 3.404 0.000 0.000 0.000 5.768" Properties=species:S:1:pos:R:3 pbc="T T T"
Bi 2.088 1.155 0.000
Bi 2.088 -1.155 2.884
Bi 9.863 1.155 0.000
Bi 9.863 -1.155 2.884
As 5.975 1.370 0.609
As 5.975 -1.370 3.492
Rh 5.975 3.102 4.536
Rh 4.509 0.300 4.731
Rh 4.509 -0.300 1.847
Rh 7.442 0.300 4.731
Rh 7.442 -0.300 1.847
Rh 5.975 -3.102 1.653
```

## Properties
The value obtained for the mass density is 11.34 g/cm3. The total energy is -72.8 eV for the cell shown. The calculation puts the formation energy at -0.32 eV per atom.

***

First-principles (GGA-PBE) data for crystalline VReI2 at its relaxed geometry, as listed in the Alexandria database.

Structure (extended XYZ):
```
8
Lattice="-2.410 2.410 8.157 2.410 -2.410 8.157 2.410 2.410 -8.157" Properties=species:S:1:pos:R:3 pbc="T T T"
V 0.000 0.000 0.000
V 0.000 2.410 4.078
Re 2.410 0.000 4.078
Re 0.000 0.000 8.157
I 1.205 -1.185 6.118
I 1.225 1.205 2.039
I 1.205 3.596 -2.039
I 1.185 1.205 10.196
```

## Properties
The value obtained for the mass density is 8.60 g/cm3. The total energy is -40.1 eV for the cell shown.

***

First-principles (GGA-PBE) data for crystalline TlIr2Pt at its relaxed geometry, as listed in the Alexandria database.

Structure (extended XYZ):
```
4
Lattice="0.000 3.224 3.224 3.224 0.000 3.224 3.224 3.224 0.000" Properties=species:S:1:pos:R:3 pbc="T T T"
Tl 0.000 0.000 0.000
Ir 1.612 1.612 1.612
Ir 4.836 4.836 4.836
Pt 3.224 3.224 3.224
```

## Properties
The value obtained for the mass density is 19.42 g/cm3. The total energy is -24.0 eV for the cell shown. The calculation puts the formation energy at 0.53 eV per atom.

***

First-principles (GGA-PBE) data for crystalline FePOs2 at its relaxed geometry, as listed in the Alexandria database.

Structure (extended XYZ):
```
4
Lattice="4.180 0.000 0.000 0.000 4.180 0.000 0.000 0.000 2.934" Properties=species:S:1:pos:R:3 pbc="T T T"
Fe 0.000 0.000 0.000
P 2.090 2.090 0.000
Os 0.000 2.090 1.467
Os 2.090 0.000 1.467
```

## Properties
The value obtained for the mass density is 15.13 g/cm3. The total energy is -35.6 eV for the cell shown. The calculation puts the formation energy at 0.18 eV per atom.

***

First-principles (GGA-PBE) data for crystalline Ca2HfMgMo at its relaxed geometry, as listed in the Alexandria database.

Structure (extended XYZ):
```
5
Lattice="5.238 0.000 0.000 0.000 5.238 0.000 0.000 0.000 5.370" Properties=species:S:1:pos:R:3 pbc="T T T"
Ca 0.000 2.619 0.000
Ca 2.619 0.000 0.000
Hf 0.000 0.000 2.685
Mg 0.000 0.000 0.000
Mo 2.619 2.619 2.685
```

## Properties
The value obtained for the mass density is 4.27 g/cm3. The total energy is -18.1 eV for the cell shown. The calculation puts the formation energy at 1.66 eV per atom.

***

First-principles (GGA-PBE) data for crystalline Cs3AuSe at its relaxed geometry, as listed in the Alexandria database.

Structure (extended XYZ):
```
20
Lattice="10.439 0.000 0.000 0.000 14.627 0.000 0.000 0.000 6.181" Properties=species:S:1:pos:R:3 pbc="T T T"
Cs 0.094 3.657 0.005
Cs 1.733 1.032 3.093
Cs 1.733 6.282 3.093
Cs 3.486 8.345 0.003
Cs 3.486 13.596 0.003
Cs 5.126 10.970 3.096
Cs 5.313 3.657 3.085
Cs 6.952 1.032 6.178
Cs 6.952 6.282 6.178
Cs 8.706 8.345 3.088
Cs 8.706 13.596 3.088
Cs 10.345 10.970 6.176
Au 1.589 10.970 3.084
Au 3.630 3.657 6.175
Au 6.808 10.970 0.006
Au 8.850 3.657 3.097
Se 0.000 0.000 0.000
Se 0.000 7.314 0.000
Se 5.219 0.000 3.091
Se 5.219 7.314 3.091
```

## Properties
The value obtained for the mass density is 4.75 g/cm3. The total energy is -51.8 eV for the cell shown.

***

| no. | DOS at the Fermi energy (states/eV/f.u.) | total magnetic moment (μB per formula unit) |
| --- | --- | --- |
| 1 | 3.4 | 0.00 |
| 2 | 3.8 | 1.77 |
| 3 | 5.2 | 0.87 |
| 4 | 3.5 | 2.18 |
| 5 | 7.3 | 0.86 |
| 6 | 0.0 | 0.00 |